ZrAlNi | PBE-GGA | relaxed

Geometry as CIF:
```
data_ZrAlNi
_chemical_formula_sum 'Zr4 Al4 Ni4'
_cell_length_a 5.3356
_cell_length_b 5.8833
_cell_length_c 7.1537
_cell_angle_alpha 89.90
_cell_angle_beta 89.98
_cell_angle_gamma 63.07
_symmetry_space_group_name_H-M 'P -1'
_symmetry_Int_Tables_number 2
loop_
_symmetry_equiv_pos_as_xyz
'x,y,z'
'-x,-y,-z'
loop_
_atom_site_label
_atom_site_fract_x
_atom_site_fract_y
_atom_site_fract_z
_atom_site_occupancy
Zr1 0.1721 0.1562 0.0968 1
Zr2 0.3282 0.8434 0.5960 1
Al1 0.1824 0.6353 0.2496 1
Al2 0.3175 0.3647 0.7501 1
Ni1 0.1024 0.2944 0.4491 1
Ni2 0.3977 0.7059 0.9487 1
```

Properties
Calculated formation energy: -0.4847 eV/atom

=====

Y3HfBi | PBE-GGA | relaxed

Geometry as CIF:
```
data_Y3HfBi
_chemical_formula_sum 'Y3 Hf1 Bi1'
_cell_length_a 5.7137
_cell_length_b 5.7137
_cell_length_c 5.7137
_cell_angle_alpha 90.00
_cell_angle_beta 90.00
_cell_angle_gamma 90.00
_symmetry_space_group_name_H-M 'P m -3 m'
_symmetry_Int_Tables_number 221
_symmetry_space_group_name_Hall '-P 4 2 3'
loop_
_atom_site_label
_atom_site_fract_x
_atom_site_fract_y
_atom_site_fract_z
_atom_site_occupancy
Y1 0.0000 0.0000 0.5000 1
Hf1 0.5000 0.5000 0.5000 1
Bi1 0.0000 0.0000 0.0000 1
```

Properties
Calculated formation energy: 0.6434 eV/atom

=====

NaCdIn2 | PBE-GGA | relaxed

Geometry as CIF:
```
data_NaCdIn2
_chemical_formula_sum 'Na2 Cd2 In4'
_cell_length_a 3.3076
_cell_length_b 5.5872
_cell_length_c 12.4761
_cell_angle_alpha 90.00
_cell_angle_beta 90.00
_cell_angle_gamma 90.00
_symmetry_space_group_name_H-M 'I m m m'
_symmetry_Int_Tables_number 71
_symmetry_space_group_name_Hall '-I 2 2'
loop_
_atom_site_label
_atom_site_fract_x
_atom_site_fract_y
_atom_site_fract_z
_atom_site_occupancy
Na1 0.0000 0.0000 0.0000 1
Cd1 0.0000 0.0000 0.5000 1
In1 0.0000 0.0000 0.2668 1
```

Properties
Calculated formation energy: 0.0294 eV/atom

=====

Tb5Tl2Si | PBE-GGA | relaxed

Geometry as CIF:
```
data_Tb5Tl2Si
_chemical_formula_sum 'Tb10 Tl4 Si2'
_cell_length_a 6.9797
_cell_length_b 12.7169
_cell_length_c 4.9731
_cell_angle_alpha 90.00
_cell_angle_beta 90.00
_cell_angle_gamma 90.00
_symmetry_space_group_name_H-M 'P b a m'
_symmetry_Int_Tables_number 55
loop_
_symmetry_equiv_pos_as_xyz
'x,y,z'
'-x,-y,-z'
'-x,-y,z'
'x,y,-z'
'x+1/2,-y+1/2,-z'
'-x+1/2,y+1/2,z'
'-x+1/2,y+1/2,-z'
'x+1/2,-y+1/2,z'
loop_
_atom_site_label
_atom_site_fract_x
_atom_site_fract_y
_atom_site_fract_z
_atom_site_occupancy
Tb1 0.0000 0.0000 0.0000 1
Tb2 0.1367 0.2832 0.0000 1
Tb3 0.1705 0.5860 0.5000 1
Tl1 0.1034 0.8397 0.5000 1
Si1 0.0000 0.5000 0.0000 1
```

Properties
Formation energy (no corrections): -0.404 eV/atom

=====

Au3C2 | PBE-GGA | relaxed

Geometry as CIF:
```
data_Au3C2
_chemical_formula_sum 'Au9 C6'
_cell_length_a 3.2853
_cell_length_b 3.2853
_cell_length_c 22.6047
_cell_angle_alpha 90.00
_cell_angle_beta 90.00
_cell_angle_gamma 120.00
_symmetry_space_group_name_H-M 'R -3 m'
_symmetry_Int_Tables_number 166
_symmetry_space_group_name_Hall '-R 3 2"'
loop_
_atom_site_label
_atom_site_fract_x
_atom_site_fract_y
_atom_site_fract_z
_atom_site_occupancy
Au1 0.0000 0.0000 0.0000 1
Au2 0.0000 0.0000 0.2139 1
C1 0.0000 0.0000 0.3945 1
```

Properties
Calculated formation energy: 1.6578 eV/atom

=====

HoSnC | PBE-GGA | relaxed

Geometry as CIF:
```
data_HoSnC
_chemical_formula_sum 'Ho2 Sn2 C2'
_cell_length_a 3.5460
_cell_length_b 3.5583
_cell_length_c 10.1736
_cell_angle_alpha 90.13
_cell_angle_beta 90.18
_cell_angle_gamma 90.03
_symmetry_space_group_name_H-M 'P -1'
_symmetry_Int_Tables_number 2
loop_
_symmetry_equiv_pos_as_xyz
'x,y,z'
'-x,-y,-z'
loop_
_atom_site_label
_atom_site_fract_x
_atom_site_fract_y
_atom_site_fract_z
_atom_site_occupancy
Ho1 0.2489 0.2491 0.3827 1
Sn1 0.2532 0.2519 0.8396 1
C1 0.2508 0.2511 0.6204 1
```

Properties
Calculated formation energy: -0.1334 eV/atom

=====

Li2Pr2ThSn2 | PBE-GGA | relaxed

Geometry as CIF:
```
data_Li2Pr2ThSn2
_chemical_formula_sum 'Li6 Pr6 Th3 Sn6'
_cell_length_a 4.8648
_cell_length_b 4.8648
_cell_length_c 27.7909
_cell_angle_alpha 90.00
_cell_angle_beta 90.00
_cell_angle_gamma 120.00
_symmetry_space_group_name_H-M 'R -3 m'
_symmetry_Int_Tables_number 166
_symmetry_space_group_name_Hall '-R 3 2"'
loop_
_atom_site_label
_atom_site_fract_x
_atom_site_fract_y
_atom_site_fract_z
_atom_site_occupancy
Li1 0.0000 0.0000 0.0985 1
Pr1 0.0000 0.0000 0.3718 1
Th1 0.0000 0.0000 0.5000 1
Sn1 0.0000 0.0000 0.2334 1
```

Properties
Calculated formation energy: -0.3987 eV/atom

=====

SrLiC3 | PBE-GGA | relaxed

Geometry as CIF:
```
data_SrLiC3
_chemical_formula_sum 'Sr1 Li1 C3'
_cell_length_a 4.7556
_cell_length_b 4.7556
_cell_length_c 4.7556
_cell_angle_alpha 90.00
_cell_angle_beta 90.00
_cell_angle_gamma 90.00
_symmetry_space_group_name_H-M 'P m -3 m'
_symmetry_Int_Tables_number 221
_symmetry_space_group_name_Hall '-P 4 2 3'
loop_
_atom_site_label
_atom_site_fract_x
_atom_site_fract_y
_atom_site_fract_z
_atom_site_occupancy
Sr1 0.0000 0.0000 0.0000 1
Li1 0.5000 0.5000 0.5000 1
C1 0.0000 0.0000 0.5000 1
```

Properties
Calculated formation energy: 3.2310 eV/atom

=====

HRu | PBE-GGA | relaxed

Geometry as CIF:
```
data_HRu
_chemical_formula_sum 'H8 Ru8'
_cell_length_a 7.7122
_cell_length_b 7.7122
_cell_length_c 2.7544
_cell_angle_alpha 90.00
_cell_angle_beta 90.00
_cell_angle_gamma 90.00
_symmetry_space_group_name_H-M 'P 4/m'
_symmetry_Int_Tables_number 83
loop_
_symmetry_equiv_pos_as_xyz
'x,y,z'
'-x,-y,-z'
'-y,x,z'
'y,-x,-z'
'-x,-y,z'
'x,y,-z'
'y,-x,z'
'-y,x,-z'
loop_
_atom_site_label
_atom_site_fract_x
_atom_site_fract_y
_atom_site_fract_z
_atom_site_occupancy
H1 0.0686 0.7769 0.0000 1
H2 0.3133 0.3652 0.5000 1
Ru1 0.1299 0.6070 0.5000 1
Ru2 0.1592 0.3166 0.0000 1
```

Properties
Electronic total energy: -12.073 eV per formula unit

=====

LaAgHg2 | PBE-GGA | relaxed

Geometry as CIF:
```
data_LaAgHg2
_chemical_formula_sum 'La1 Ag1 Hg2'
_cell_length_a 3.5392
_cell_length_b 5.0036
_cell_length_c 5.9524
_cell_angle_alpha 90.00
_cell_angle_beta 90.00
_cell_angle_gamma 90.00
_symmetry_space_group_name_H-M 'P m m 2'
_symmetry_Int_Tables_number 25
loop_
_symmetry_equiv_pos_as_xyz
'x,y,z'
'-x,-y,z'
'-x,y,z'
'x,-y,z'
loop_
_atom_site_label
_atom_site_fract_x
_atom_site_fract_y
_atom_site_fract_z
_atom_site_occupancy
La1 0.0000 0.0000 0.0000 1
Ag1 0.5000 0.5000 0.7538 1
Hg1 0.5000 0.0000 0.5132 1
Hg2 0.5000 0.5000 0.2482 1
```

Properties
Calculated formation energy: -0.2464 eV/atom

=====

Y2Mo | PBE-GGA | relaxed

Geometry as CIF:
```
data_Y2Mo
_chemical_formula_sum 'Y2 Mo1'
_cell_length_a 4.9975
_cell_length_b 4.9975
_cell_length_c 3.3475
_cell_angle_alpha 90.00
_cell_angle_beta 90.00
_cell_angle_gamma 120.00
_symmetry_space_group_name_H-M 'P -3 m 1'
_symmetry_Int_Tables_number 164
_symmetry_space_group_name_Hall '-P 3 2"'
loop_
_atom_site_label
_atom_site_fract_x
_atom_site_fract_y
_atom_site_fract_z
_atom_site_occupancy
Y1 0.3333 0.6667 0.2347 1
Mo1 0.0000 0.0000 0.5000 1
```

Properties
Calculated formation energy: 0.4443 eV/atom

=====

Values of D(E_F), in order: 0.888 1.052 0.395 0.699 0.164 0.368 0.688 0.828 0.663 0.552 1.245, all in states/eV per atom.